DFT (PBE) results for a relaxed KTlF6 crystal.

Properties
Uncorrected formation energy in meV per atom: -1477
Total DFT energy (no corrections) in eV/atom: -3.3132

abc: 5.134 5.134 5.134
angles: 98.01 98.01 98.01
Positions (direct):
K: 0.000 0.000 0.000
Tl: 0.500 0.500 0.500
F: 0.198 0.198 0.565
F: 0.198 0.565 0.198
F: 0.435 0.802 0.802
F: 0.565 0.198 0.198
F: 0.802 0.435 0.802
F: 0.802 0.802 0.435